[1]
The following is a PBE calculation of an optimized crystal structure of PmSm2Dy, from Alexandria.

a b c (Å): 4.256 4.256 7.384
angles (deg): 90.00 90.00 90.00
Element x y z (fractional)
Pm  0.000  0.000  0.000
Sm  0.500  0.500  0.254
Sm  0.500  0.500  0.746
Dy  0.000  0.000  0.500

Computed properties:
Excess energy over the best structure of this formula in the dataset   104.7 meV per atom
D(E_F)   8.9 states/eV/f.u.
Formation energy   0.12 eV per atom

---

[2]
The following is a PBE calculation of an optimized crystal structure of Pm2SmDy6, from Alexandria.

a b c (Å): 10.242 10.242 3.436
angles (deg): 99.65 99.65 57.92
Element x y z (fractional)
Pm  0.167  0.167  0.165
Pm  0.833  0.833  0.835
Sm  0.500  0.500  0.500
Dy  0.146  0.521  0.335
Dy  0.188  0.812  0.000
Dy  0.479  0.854  0.665
Dy  0.521  0.146  0.335
Dy  0.812  0.188  0.000
Dy  0.854  0.479  0.665

Computed properties:
Excess energy over the best structure of this formula in the dataset   0.0 meV per atom
D(E_F)   20.2 states/eV/f.u.
Formation energy   0.20 eV per atom

---

[3]
The following is a PBE calculation of an optimized crystal structure of Pm3SmDy7, from Alexandria.

a b c (Å): 8.457 8.457 8.457
angles (deg): 139.54 97.20 96.54
Element x y z (fractional)
Pm  0.000  0.000  0.000
Pm  0.211  0.711  0.500
Pm  0.789  0.289  0.500
Sm  0.500  0.500  0.000
Dy  0.013  0.805  0.208
Dy  0.205  0.500  0.705
Dy  0.403  0.195  0.208
Dy  0.500  0.000  0.500
Dy  0.597  0.805  0.792
Dy  0.795  0.500  0.295
Dy  0.987  0.195  0.792

Computed properties:
Excess energy over the best structure of this formula in the dataset   113.5 meV per atom
D(E_F)   16.5 states/eV/f.u.
Formation energy   0.26 eV per atom

---

Repeat the second record exactly.
The following is a PBE calculation of an optimized crystal structure of Pm2SmDy6, from Alexandria.

a b c (Å): 10.242 10.242 3.436
angles (deg): 99.65 99.65 57.92
Element x y z (fractional)
Pm  0.167  0.167  0.165
Pm  0.833  0.833  0.835
Sm  0.500  0.500  0.500
Dy  0.146  0.521  0.335
Dy  0.188  0.812  0.000
Dy  0.479  0.854  0.665
Dy  0.521  0.146  0.335
Dy  0.812  0.188  0.000
Dy  0.854  0.479  0.665

Computed properties:
Excess energy over the best structure of this formula in the dataset   0.0 meV per atom
D(E_F)   20.2 states/eV/f.u.
Formation energy   0.20 eV per atom

---

Copy entry 3 word for word.
The following is a PBE calculation of an optimized crystal structure of Pm3SmDy7, from Alexandria.

a b c (Å): 8.457 8.457 8.457
angles (deg): 139.54 97.20 96.54
Element x y z (fractional)
Pm  0.000  0.000  0.000
Pm  0.211  0.711  0.500
Pm  0.789  0.289  0.500
Sm  0.500  0.500  0.000
Dy  0.013  0.805  0.208
Dy  0.205  0.500  0.705
Dy  0.403  0.195  0.208
Dy  0.500  0.000  0.500
Dy  0.597  0.805  0.792
Dy  0.795  0.500  0.295
Dy  0.987  0.195  0.792

Computed properties:
Excess energy over the best structure of this formula in the dataset   113.5 meV per atom
D(E_F)   16.5 states/eV/f.u.
Formation energy   0.26 eV per atom

---

Which value of excess energy over the best structure of this formula in the dataset does entry 2 give?
0.0 meV per atom

---

Which of these has the lowest D(E_F)?
PmSm2Dy